This record from Alexandria via LeMat-Bulk describes crystalline CrPI2O at its relaxed geometry. The functional is PBE with a Hubbard U.

Lattice parameters (Å, degrees): 5.695 5.695 3.589 90.00 90.00 90.00
Fractional coordinates of all 5 atoms:
1 Cr 0.000 0.000 0.000
2 P 0.500 0.500 0.500
3 I 0.000 0.500 0.500
4 I 0.500 0.000 0.500
5 O 0.500 0.500 0.000

total magnetic moment: 4.9 μB/f.u.
volume: 23.284 Å³ per atom
relative energy among the computed polymorphs: 0.00 kJ per mole of atoms